1.
K2OsCl: relaxed, PBE.

Lattice parameters (Å, degrees): 4.8132 4.8132 6.8791 90.00 90.00 90.00
Last column: magnetic moment on the atom in μB.
Atoms (fractional coordinates):
1 Os 0.0000 0.0000 0.3740  2.52
2 K 0.0000 0.0000 0.8743  0.00
3 K 0.5000 0.5000 0.3773  0.00
4 Cl 0.5000 0.5000 0.8744  0.01

Properties
ρ in Mg/m³: 3.2
Calculated total energy in eV/atom: -3.235
E above lowest polymorph in meV/atom: 311
Density of states at the Fermi level in states/eV/cell: 4.24
Formation energy (no corrections) in kJ/mol of formula units: 225

=====

2.
K2AlSe: relaxed, PBE.

Lattice parameters (Å, degrees): 6.8471 6.8471 4.1272 89.89 89.89 45.25
Atoms (fractional coordinates):
1 K 0.0161 0.0161 0.1238
2 K 0.7206 0.7206 0.6262
3 Al 0.3164 0.3164 0.1255
4 Se 0.4469 0.4469 0.6245

Properties
ρ in Mg/m³: 2.2
Calculated total energy in eV/atom: -2.824
E above lowest polymorph in meV/atom: 0
Density of states at the Fermi level in states/eV/cell: 1.80
Formation energy (no corrections) in kJ/mol of formula units: -181

=====

3.
TiSiO2: relaxed, PBE.

Lattice parameters (Å, degrees): 6.8855 6.8855 6.8855 23.01 23.01 23.01
Atoms (fractional coordinates):
1 Si 0.5000 0.5000 0.5000
2 O 0.1213 0.1213 0.1213
3 O 0.8787 0.8787 0.8787
4 Ti 0.0000 0.0000 0.0000

Properties
ρ in Mg/m³: 4.1
Calculated total energy in eV/atom: -7.164
Density of states at the Fermi level in states/eV/cell: 2.53
Formation energy (no corrections) in kJ/mol of formula units: -523

=====

4.
Ac3La4NpN8: relaxed, PBE.

Lattice parameters (Å, degrees): 7.5353 7.4939 7.5346 120.18 120.00 90.00
Last column: magnetic moment on the atom in μB.
Atoms (fractional coordinates):
1 Ac 0.5000 0.5000 0.0000  0.05
2 Ac 0.5000 0.5000 0.5000  0.05
3 Ac 0.0000 0.5000 0.5000  0.05
4 N 0.7816 0.2752 0.5631  -0.08
5 N 0.2118 0.2756 0.9937  -0.08
6 N 0.7882 0.7244 0.0063  -0.08
7 N 0.2181 0.7244 0.0063  -0.08
8 N 0.7819 0.2756 0.9937  -0.08
9 N 0.7543 0.7627 0.5085  0.01
10 N 0.2457 0.2373 0.4915  0.01
11 N 0.2184 0.7248 0.4369  -0.08
12 Np 0.0000 0.5000 0.0000  2.06
13 La 0.5000 0.0000 0.5000  0.04
14 La 0.0000 0.0000 0.5000  0.04
15 La 0.5000 0.0000 0.0000  0.29
16 La 0.0000 0.0000 0.0000  0.04

Properties
ρ in Mg/m³: 8.8
Calculated total energy in eV/atom: -8.135
Density of states at the Fermi level in states/eV/cell: 5.49
Formation energy (no corrections) in kJ/mol of formula units: -1792

=====

5.
ZrBI2: relaxed, PBE.

Lattice parameters (Å, degrees): 5.0538 5.0538 5.0538 60.00 60.00 60.00
Atoms (fractional coordinates):
1 I 0.2500 0.2500 0.2500
2 I 0.7500 0.7500 0.7500
3 B 0.0000 0.0000 0.0000
4 Zr 0.5000 0.5000 0.5000

Properties
ρ in Mg/m³: 6.5
Calculated total energy in eV/atom: -3.737
E above lowest polymorph in meV/atom: 0
Density of states at the Fermi level in states/eV/cell: 3.31
Formation energy (no corrections) in kJ/mol of formula units: 326

=====

6.
Hf3CuOs2: relaxed, PBE.

Lattice parameters (Å, degrees): 3.2313 3.2313 9.9175 90.00 90.00 90.00
Atoms (fractional coordinates):
1 Hf 0.0000 0.0000 0.6682
2 Hf 0.0000 0.0000 0.3318
3 Hf 0.0000 0.0000 0.0000
4 Os 0.5000 0.5000 0.1677
5 Os 0.5000 0.5000 0.8323
6 Cu 0.5000 0.5000 0.5000

Properties
ρ in Mg/m³: 15.7
Calculated total energy in eV/atom: -9.922
Density of states at the Fermi level in states/eV/cell: 3.13
Energy of formation in eV per atom: -0.52

=====

7.
ZrSbOs4: relaxed, PBE.

Lattice parameters (Å, degrees): 5.2770 5.2770 5.2770 60.00 60.00 60.00
Atoms (fractional coordinates):
1 Sb 0.7500 0.7500 0.7500
2 Os 0.8745 0.3752 0.3752
3 Os 0.3752 0.8745 0.3752
4 Os 0.3752 0.3752 0.8745
5 Os 0.3752 0.3752 0.3752
6 Zr 0.0000 0.0000 0.0000

Properties
ρ in Mg/m³: 15.6
Calculated total energy in eV/atom: -9.340
Density of states at the Fermi level in states/eV/cell: 7.82
Formation energy (no corrections) in kJ/mol of formula units: 150

=====

8.
KTlN2F: relaxed, PBE.

Lattice parameters (Å, degrees): 4.3904 4.3904 4.9161 90.00 90.00 90.00
Last column: magnetic moment on the atom in μB.
Atoms (fractional coordinates):
1 K 0.5000 0.5000 0.5000  0.00
2 Tl 0.0000 0.0000 0.0000  -0.02
3 N 0.0000 0.5000 0.0000  0.88
4 N 0.5000 0.0000 0.0000  0.88
5 F 0.0000 0.0000 0.5000  0.02

Properties
ρ in Mg/m³: 5.1
Calculated total energy in eV/atom: -3.903
E above lowest polymorph in meV/atom: 0
Density of states at the Fermi level in states/eV/cell: 2.46
Formation energy (no corrections) in kJ/mol of formula units: 239

=====

ρ of number 4 (Ac3La4NpN8)? 8.8 Mg/m³

=====

Please write out number 5 again, unchanged.
ZrBI2: relaxed, PBE.

Lattice parameters (Å, degrees): 5.0538 5.0538 5.0538 60.00 60.00 60.00
Atoms (fractional coordinates):
1 I 0.2500 0.2500 0.2500
2 I 0.7500 0.7500 0.7500
3 B 0.0000 0.0000 0.0000
4 Zr 0.5000 0.5000 0.5000

Properties
ρ in Mg/m³: 6.5
Calculated total energy in eV/atom: -3.737
E above lowest polymorph in meV/atom: 0
Density of states at the Fermi level in states/eV/cell: 3.31
Formation energy (no corrections) in kJ/mol of formula units: 326

=====

Please write out number 8 again, unchanged.
KTlN2F: relaxed, PBE.

Lattice parameters (Å, degrees): 4.3904 4.3904 4.9161 90.00 90.00 90.00
Last column: magnetic moment on the atom in μB.
Atoms (fractional coordinates):
1 K 0.5000 0.5000 0.5000  0.00
2 Tl 0.0000 0.0000 0.0000  -0.02
3 N 0.0000 0.5000 0.0000  0.88
4 N 0.5000 0.0000 0.0000  0.88
5 F 0.0000 0.0000 0.5000  0.02

Properties
ρ in Mg/m³: 5.1
Calculated total energy in eV/atom: -3.903
E above lowest polymorph in meV/atom: 0
Density of states at the Fermi level in states/eV/cell: 2.46
Formation energy (no corrections) in kJ/mol of formula units: 239